1.
MoW2, single point on PBEsol structure, DFT meta-GGA SCAN; total magnetization = 0.00 μB/cell
1.0
-2.575 0.110 -1.805
-0.362 -4.416 0.247
-2.515 0.561 6.362
W Mo
4 2
Direct
0.750 0.750 0.500
0.250 0.250 0.500
0.083 0.750 0.166
0.917 0.250 0.834
0.583 0.250 0.166
0.417 0.750 0.834



2.
MoW2, single point on PBEsol structure, DFT meta-GGA SCAN; total magnetization = 0.00 μB/cell
1.0
-3.307 2.454 1.134
-3.863 -1.739 0.546
-1.659 -0.331 3.922
W Mo
2 1
Direct
0.750 0.750 0.750
0.250 0.250 0.250
0.000 0.000 0.000



Which is most stable, and by how much? 1, by 1.126 eV/atom.



1.
MoW, single point on PBEsol structure, DFT meta-GGA SCAN; total magnetization = 0.00 μB/cell
1.0
-0.577 2.588 0.599
-1.485 0.628 -4.143
-4.514 -2.256 1.276
W Mo
2 2
Direct
0.127 0.750 0.375
0.873 0.250 0.625
0.377 0.250 0.125
0.623 0.750 0.875



2.
MoW, single point on PBEsol structure, DFT meta-GGA SCAN; total magnetization = 0.00 μB/cell
1.0
2.642 0.000 0.000
0.000 2.642 0.000
0.000 0.000 9.067
Mo W
2 2
Direct
0.000 0.500 0.875
0.500 0.000 0.125
0.000 0.500 0.375
0.500 0.000 0.625



3.
MoW, single point on PBEsol structure, DFT meta-GGA SCAN; total magnetization = 0.00 μB/cell
1.0
3.140 0.000 0.000
0.000 3.140 0.000
0.000 0.000 3.140
Mo W
1 1
Direct
0.000 0.000 0.000
0.500 0.500 0.500



Which is most stable, and by how much? 3, by 0.006 eV/atom.



1.
MoW, single point on PBEsol structure, DFT meta-GGA SCAN; total magnetization = 0.00 μB/cell
1.0
-0.843 -2.313 -1.953
0.851 -2.120 4.672
-5.891 2.190 -0.050
Mo W
3 3
Direct
0.972 0.945 0.945
0.639 0.278 0.277
0.639 0.277 0.778
0.306 0.611 0.111
0.973 0.945 0.445
0.305 0.610 0.611



2.
MoW, single point on PBEsol structure, DFT meta-GGA SCAN; total magnetization = 0.00 μB/cell
1.0
-1.332 2.071 0.767
-4.359 -2.102 -1.891
2.057 -2.038 4.737
W Mo
2 2
Direct
0.373 0.021 0.747
0.627 0.979 0.253
0.877 0.529 0.754
0.123 0.471 0.246



Which is most stable, and by how much? 1, by 0.468 eV/atom.



1.
MoW, single point on PBEsol structure, DFT meta-GGA SCAN; total magnetization = 0.00 μB/cell
1.0
2.718 0.000 0.000
-0.906 2.562 0.000
0.000 0.000 8.887
Mo W
2 2
Direct
0.750 0.250 0.876
0.250 0.750 0.124
0.250 0.750 0.626
0.750 0.250 0.374



2.
MoW, single point on PBEsol structure, DFT meta-GGA SCAN; total magnetization = 0.00 μB/cell
1.0
4.440 0.000 0.000
2.220 3.846 0.000
2.220 1.282 3.626
W Mo
2 2
Direct
0.750 0.750 0.750
0.500 0.500 0.500
0.250 0.250 0.250
0.000 0.000 0.000



Which is most stable, and by how much? 2, by 0.006 eV/atom.



1.
MoW, single point on PBEsol structure, DFT meta-GGA SCAN; total magnetization = 0.00 μB/cell
1.0
-2.999 -0.796 0.470
-0.286 -1.404 -4.199
2.921 -2.964 3.136
W Mo
2 2
Direct
0.875 0.125 0.750
0.125 0.875 0.250
0.625 0.375 0.250
0.375 0.625 0.750



2.
MoW, single point on PBEsol structure, DFT meta-GGA SCAN; total magnetization = 0.00 μB/cell
1.0
-2.522 1.173 1.456
-1.513 0.158 -2.747
-2.200 -5.819 0.878
W Mo
2 2
Direct
0.000 0.500 0.626
0.500 0.000 0.374
0.500 0.000 0.876
0.000 0.500 0.124



Which is most stable, and by how much? 1, by 0.006 eV/atom.



1.
Mo3W5, single point on PBEsol structure, DFT meta-GGA SCAN; total magnetization = 0.00 μB/cell
1.0
4.455 0.000 0.000
0.000 5.436 -0.001
0.000 -1.809 5.126
W Mo
5 3
Direct
0.000 0.500 0.000
0.000 0.000 0.000
0.000 0.000 0.500
0.500 0.251 0.251
0.500 0.749 0.749
0.500 0.750 0.250
0.000 0.500 0.500
0.500 0.250 0.750



2.
Mo3W5, single point on PBEsol structure, DFT meta-GGA SCAN; total magnetization = 0.00 μB/cell
1.0
6.287 0.000 0.000
0.000 6.287 0.000
0.000 0.000 6.287
Mo W
6 10
Direct
0.500 0.999 0.999
0.500 0.500 0.000
0.250 0.750 0.750
0.000 0.500 0.500
0.500 0.000 0.500
0.750 0.750 0.750
0.251 0.750 0.250
0.000 0.501 0.999
0.000 0.000 0.000
0.500 0.501 0.501
0.749 0.250 0.250
0.749 0.250 0.750
0.000 0.999 0.501
0.251 0.250 0.750
0.749 0.750 0.250
0.251 0.250 0.250



Which is most stable, and by how much? 1, by 0.005 eV/atom.



1.
YMoW2, single point on PBEsol structure, DFT meta-GGA SCAN; total magnetization = 0.00 μB/cell
1.0
-0.922 -1.309 -2.306
1.666 -1.704 1.483
-7.486 -3.156 4.785
Mo Y W
1 1 2
Direct
0.500 0.500 0.000
0.500 0.500 0.500
0.000 0.000 0.225
0.000 0.000 0.775



2.
YMoW2, single point on PBEsol structure, DFT meta-GGA SCAN; total magnetization = 0.00 μB/cell
1.0
2.712 0.000 0.000
0.000 4.770 0.000
0.000 0.000 5.468
W Y Mo
2 1 1
Direct
0.000 0.000 0.740
0.000 0.000 0.260
0.500 0.500 0.000
0.500 0.500 0.500



3.
YMoW2, single point on PBEsol structure, DFT meta-GGA SCAN; total magnetization = 0.00 μB/cell
1.0
-0.077 1.966 -1.872
-0.886 -3.690 -3.839
-4.300 2.293 2.584
W Mo Y
2 1 1
Direct
0.000 0.500 0.500
0.000 0.000 0.500
0.500 0.500 0.000
0.500 0.000 0.000



Which is most stable, and by how much? 1, by 0.268 eV/atom.



1.
Y2MoW, single point on PBEsol structure, DFT meta-GGA SCAN; total magnetization = 0.00 μB/cell
1.0
-2.107 1.635 -1.200
-2.543 -4.044 -1.042
-1.621 -0.388 5.461
Mo Y W
1 2 1
Direct
0.500 0.500 0.000
0.303 0.000 0.251
0.697 0.000 0.749
0.000 0.500 0.500



2.
Y2MoW, single point on PBEsol structure, DFT meta-GGA SCAN; total magnetization = 0.00 μB/cell
1.0
3.018 -0.022 0.000
-1.148 2.791 0.000
0.000 0.000 10.028
Y W Mo
2 1 1
Direct
0.500 0.500 0.710
0.000 0.000 0.038
0.500 0.500 0.281
0.000 0.000 0.471



Which is most stable, and by how much? 2, by 0.244 eV/atom.



1.
ZrMoW, single point on PBEsol structure, DFT meta-GGA SCAN; total magnetization = 0.00 μB/cell
1.0
-2.161 -1.631 -1.709
-1.586 -0.716 2.688
-0.877 5.352 -1.000
Mo Zr W
1 1 1
Direct
0.012 0.012 0.024
0.335 0.335 0.670
0.653 0.653 0.306



2.
ZrMoW, single point on PBEsol structure, DFT meta-GGA SCAN; total magnetization = 0.00 μB/cell
1.0
5.319 0.000 0.000
2.660 4.631 -0.003
2.660 1.527 4.372
W Zr Mo
2 2 2
Direct
0.500 0.000 0.000
0.500 0.500 0.500
0.125 0.125 0.625
0.875 0.875 0.375
0.500 0.500 0.000
0.000 0.500 0.000



Which is most stable, and by how much? 2, by 0.133 eV/atom.



1.
ZnMo2, single point on PBEsol structure, DFT meta-GGA SCAN; total magnetization = 0.00 μB/cell
1.0
-0.231 2.210 -1.403
-4.271 -0.880 -0.682
1.232 2.363 3.519
Mo Zn
2 1
Direct
0.367 0.333 0.667
0.633 0.667 0.333
0.000 0.000 0.000



2.
ZnMo2, single point on PBEsol structure, DFT meta-GGA SCAN; total magnetization = 0.00 μB/cell
1.0
2.584 0.000 0.000
-1.292 5.282 0.010
0.000 -1.553 6.543
Mo Zn
4 2
Direct
0.974 0.948 0.684
0.636 0.272 0.020
0.026 0.052 0.316
0.364 0.728 0.980
0.702 0.405 0.643
0.298 0.595 0.357



Which is most stable, and by how much? 1, by 0.207 eV/atom.



1.
ZrMo5, single point on PBEsol structure, DFT meta-GGA SCAN; total magnetization = 0.00 μB/cell
1.0
-2.459 -3.619 -0.789
4.321 -2.661 -1.258
-1.682 0.064 4.950
Mo Zr
5 1
Direct
0.000 0.667 0.333
0.500 0.500 0.500
0.500 0.500 0.000
0.500 0.000 0.500
0.000 0.333 0.667
0.000 0.000 0.000



2.
ZrMo5, single point on PBEsol structure, DFT meta-GGA SCAN; total magnetization = 0.00 μB/cell
1.0
-2.348 -1.096 1.824
-1.417 -0.763 -5.035
3.646 -4.909 1.744
Mo Zr
5 1
Direct
0.672 0.345 0.342
0.670 0.339 0.828
0.000 0.000 0.500
0.328 0.655 0.658
0.330 0.661 0.172
0.000 0.000 0.000



Which is most stable, and by how much? 2, by 0.281 eV/atom.



1.
Zr3Mo, single point on PBEsol structure, DFT meta-GGA SCAN; total magnetization = 0.00 μB/cell
1.0
3.335 0.000 0.000
0.000 3.335 0.000
0.000 0.000 7.214
Zr Mo
3 1
Direct
0.500 0.500 0.218
0.000 0.000 0.500
0.500 0.500 0.782
0.000 0.000 0.000



2.
Zr3Mo, single point on PBEsol structure, DFT meta-GGA SCAN; total magnetization = 0.00 μB/cell
1.0
-1.607 2.376 -1.786
2.136 -1.655 -4.122
-3.974 -3.398 2.252
Zr Mo
3 1
Direct
0.500 0.583 0.000
0.721 0.316 0.441
0.279 0.875 0.559
0.000 0.059 0.000



3.
Zr3Mo, single point on PBEsol structure, DFT meta-GGA SCAN; total magnetization = 0.00 μB/cell
1.0
3.406 0.000 0.000
0.000 4.800 0.000
0.000 0.000 4.800
Zr Mo
3 1
Direct
0.500 0.000 0.500
0.000 0.500 0.500
0.500 0.500 0.000
0.000 0.000 0.000



Which is most stable, and by how much? 2, by 0.037 eV/atom.



1.
NaTiSN2, single point on PBEsol structure, DFT meta-GGA SCAN; total magnetization = 3.00 μB/cell
1.0
-2.795 2.787 -0.589
-2.648 -2.239 1.975
1.245 2.106 4.057
Na S N Ti
1 1 2 1
Direct
0.000 0.000 0.000
0.000 0.000 0.500
0.000 0.500 0.000
0.500 0.000 0.000
0.500 0.500 0.500



2.
NaTiSN2, single point on PBEsol structure, DFT meta-GGA SCAN; total magnetization = 2.98 μB/cell
1.0
-0.503 3.754 1.175
-3.123 0.339 -2.419
-2.890 -1.490 3.523
Ti N Na S
1 2 1 1
Direct
0.000 0.000 0.000
0.000 0.500 0.000
0.500 0.000 0.000
0.500 0.500 0.500
0.000 0.000 0.500



Which is most stable, and by how much? 2, by 1.668 eV/atom.